A plane-wave DFT calculation with GGA+U was carried out for Ac2GaNiO6 after structural relaxation.

Cell lengths 5.606, 5.606, 5.664 Å; angles 120.24, 120.24, 59.93 degrees
Fractional positions:
Ac: 0.250 0.250 0.249
Ac: 0.750 0.750 0.751
Ga: 0.500 0.500 0.000
Ni: 0.000 0.000 0.500
O: 0.228 0.725 0.225
O: 0.250 0.250 0.704
O: 0.275 0.772 0.775
O: 0.725 0.228 0.225
O: 0.750 0.750 0.296
O: 0.772 0.275 0.775

Values from the calculation:
Uncorrected energy = -6.73 eV per atom
Space group = No. 12